No. 1
First-principles (GGA-PBE) data for Nd3Er4Sc after structural relaxation, as listed in Alexandria.

Unit cell a=6.222 b=7.244 c=11.290 alpha=90.00 beta=90.00 gamma=90.00
Fractional coordinates of all 16 atoms:
Nd (0.480, 0.376, 0.750)
Nd (0.980, 0.624, 0.250)
Nd (0.980, 0.624, 0.750)
Nd (0.647, 0.627, 0.000)
Nd (0.480, 0.376, 0.250)
Nd (0.147, 0.373, 0.500)
Er (0.150, 0.877, 0.000)
Er (0.650, 0.123, 0.500)
Er (0.146, 0.878, 0.500)
Er (0.984, 0.123, 0.245)
Er (0.484, 0.877, 0.255)
Er (0.646, 0.122, 0.000)
Er (0.484, 0.877, 0.745)
Er (0.984, 0.123, 0.755)
Sc (0.144, 0.369, 0.000)
Sc (0.644, 0.631, 0.500)

Computed properties:
ΔE_f: 0.03 eV/atom
volume: 508.9 Å³ per cell
crystal system: orthorhombic


No. 2
First-principles (GGA-PBE) data for NdErSc2 after structural relaxation, as listed in Alexandria.

Unit cell a=5.812 b=5.812 c=4.951 alpha=64.79 beta=64.79 gamma=50.42
Fractional coordinates of all 4 atoms:
Sc (0.051, 0.496, 0.745)
Sc (0.551, 0.996, 0.245)
Nd (0.301, 0.746, 0.995)
Er (0.801, 0.246, 0.495)

Computed properties:
ΔE_f: 0.06 eV/atom
volume: 113.7 Å³ per cell
crystal system: tetragonal


No. 3
First-principles (GGA-PBE) data for NdEr4Sc8 after structural relaxation, as listed in Alexandria.

Unit cell a=7.380 b=7.380 c=7.380 alpha=90.14 beta=90.14 gamma=90.14
Site moments in Bohr magnetons follow the coordinates.
Fractional coordinates of all 13 atoms:
Sc (0.238, 0.760, 0.238)  0.12
Sc (0.762, 0.240, 0.762)  0.12
Sc (0.238, 0.238, 0.760)  0.12
Sc (0.762, 0.762, 0.240)  0.12
Sc (0.762, 0.762, 0.762)  0.12
Sc (0.240, 0.762, 0.762)  0.12
Sc (0.238, 0.238, 0.238)  0.12
Sc (0.760, 0.238, 0.238)  0.12
Er (0.000, 0.000, 0.000)  -0.09
Er (0.500, 0.000, 0.500)  0.24
Er (0.500, 0.500, 0.000)  0.24
Er (0.000, 0.500, 0.500)  0.24
Nd (0.500, 0.500, 0.500)  0.11

Computed properties:
ΔE_f: 0.60 eV/atom
volume: 401.9 Å³ per cell
crystal system: trigonal


No. 4
First-principles (GGA-PBE) data for Nd4Er5Sc after structural relaxation, as listed in Alexandria.

Unit cell a=5.800 b=8.093 c=8.093 alpha=82.62 beta=69.00 gamma=69.00
Fractional coordinates of all 10 atoms:
Nd (0.125, 0.321, 0.321)
Nd (0.446, 0.679, 0.321)
Nd (0.768, 0.679, 0.679)
Nd (0.446, 0.321, 0.679)
Er (0.774, 0.373, 0.000)
Er (0.680, 0.000, 0.000)
Er (0.147, 0.627, 0.000)
Er (0.774, 0.000, 0.373)
Er (0.147, 0.000, 0.627)
Sc (0.203, 0.000, 0.000)

Computed properties:
ΔE_f: 0.22 eV/atom
volume: 331.1 Å³ per cell
crystal system: tetragonal


No. 5
First-principles (GGA-PBE) data for Nd4Er3Sc2 after structural relaxation, as listed in Alexandria.

Unit cell a=3.549 b=3.549 c=26.112 alpha=90.00 beta=90.00 gamma=120.00
Site moments in Bohr magnetons follow the coordinates.
Fractional coordinates of all 9 atoms:
Nd (0.000, 0.000, 0.774)  0.02
Nd (0.667, 0.333, 0.429)  0.01
Nd (0.000, 0.000, 0.550)  0.01
Nd (0.667, 0.333, 0.207)  0.02
Sc (0.667, 0.333, 0.880)  -0.06
Sc (0.667, 0.333, 0.080)  0.26
Er (0.667, 0.333, 0.661)  -0.02
Er (0.000, 0.000, 0.980)  0.08
Er (0.000, 0.000, 0.317)  -0.01

Computed properties:
ΔE_f: 0.09 eV/atom
volume: 284.8 Å³ per cell
crystal system: trigonal


No. 6
First-principles (GGA-PBE) data for Nd9Er2Sc after structural relaxation, as listed in Alexandria.

Unit cell a=5.113 b=5.113 c=15.346 alpha=90.00 beta=90.00 gamma=90.00
Fractional coordinates of all 12 atoms:
Nd (0.000, 0.500, 0.163)
Nd (0.500, 0.000, 0.500)
Nd (0.500, 0.500, 0.000)
Nd (0.000, 0.500, 0.500)
Nd (0.500, 0.000, 0.837)
Nd (0.500, 0.000, 0.163)
Nd (0.500, 0.500, 0.331)
Nd (0.500, 0.500, 0.669)
Nd (0.000, 0.500, 0.837)
Er (0.000, 0.000, 0.669)
Er (0.000, 0.000, 0.331)
Sc (0.000, 0.000, 0.000)

Computed properties:
ΔE_f: 0.02 eV/atom
volume: 401.2 Å³ per cell
crystal system: tetragonal


No. 7
First-principles (GGA-PBE) data for Nd5Er3Sc after structural relaxation, as listed in Alexandria.

Unit cell a=10.102 b=10.102 c=8.726 alpha=60.32 beta=60.32 gamma=72.03
Fractional coordinates of all 18 atoms:
Sc (0.856, 0.856, 0.432)
Sc (0.144, 0.144, 0.568)
Er (0.000, 0.000, 0.000)
Er (0.281, 0.281, 0.651)
Er (0.631, 0.631, 0.800)
Er (0.369, 0.369, 0.200)
Er (0.000, 0.000, 0.500)
Er (0.719, 0.719, 0.349)
Nd (0.744, 0.256, 0.000)
Nd (0.072, 0.585, 0.618)
Nd (0.585, 0.072, 0.618)
Nd (0.546, 0.546, 0.263)
Nd (0.256, 0.744, 0.000)
Nd (0.806, 0.806, 0.923)
Nd (0.454, 0.454, 0.737)
Nd (0.194, 0.194, 0.077)
Nd (0.415, 0.928, 0.382)
Nd (0.928, 0.415, 0.382)

Computed properties:
ΔE_f: 0.56 eV/atom
volume: 669.7 Å³ per cell
crystal system: monoclinic


No. 8
First-principles (GGA-PBE) data for Nd2Er8Sc after structural relaxation, as listed in Alexandria.

Unit cell a=6.592 b=9.981 c=9.981 alpha=38.39 beta=60.38 gamma=60.38
Fractional coordinates of all 11 atoms:
Er (0.774, 0.657, 0.177)
Er (0.828, 0.244, 0.244)
Er (0.172, 0.756, 0.756)
Er (0.730, 0.590, 0.590)
Er (0.774, 0.177, 0.657)
Er (0.226, 0.823, 0.343)
Er (0.226, 0.343, 0.823)
Er (0.270, 0.410, 0.410)
Nd (0.579, 0.809, 0.809)
Nd (0.421, 0.191, 0.191)
Sc (0.000, 0.000, 0.000)

Computed properties:
ΔE_f: 0.17 eV/atom
volume: 347.5 Å³ per cell
crystal system: monoclinic


Which of these has the highest volume?
Nd5Er3Sc